# BePt2Br

A crystal of BePt2Br relaxed with PBEsol (meta-GGA SCAN, Alexandria).

## Properties
- DFT total energy (eV per atom) = -40.39

a b c (Å): 4.435 4.435 4.435
angles (deg): 60.00 60.00 60.00
Positions (direct):
1 Pt 0.750 0.750 0.750
2 Pt 0.000 0.000 0.000
3 Br 0.250 0.250 0.250
4 Be 0.500 0.500 0.500